No. 1
The following is a DFT calculation (GGA-PBE) of an optimized crystal structure of As2Cl.

* space-group type: No. 189
* relative energy among the computed polymorphs: 1.66 eV per formula unit

abc: 9.4400 9.4400 3.5451
angles: 90.00 90.00 120.00
Fractional positions:
As  0.2606  0.0000  0.0000
As  0.0000  0.2606  0.0000
As  0.7394  0.7394  0.0000
As  0.4304  0.0000  0.5000
As  0.0000  0.4304  0.5000
As  0.5696  0.5696  0.5000
Cl  0.3333  0.6667  0.0000
Cl  0.6667  0.3333  0.0000
Cl  0.0000  0.0000  0.5000


No. 2
The following is a DFT calculation (GGA-PBE) of an optimized crystal structure of CdIn3Sn.

* space-group type: No. 59
* relative energy among the computed polymorphs: 0.32 eV per formula unit

abc: 3.9339 8.6867 8.2183
angles: 90.00 90.00 90.00
Fractional positions:
Cd  0.7500  0.2500  0.0056
Cd  0.2500  0.7500  0.9944
In  0.2500  0.4680  0.2091
In  0.7500  0.5320  0.7909
In  0.2500  0.0320  0.2091
In  0.7500  0.9680  0.7909
In  0.2500  0.2500  0.6934
In  0.7500  0.7500  0.3066
Sn  0.7500  0.2500  0.3962
Sn  0.2500  0.7500  0.6038


No. 3
The following is a DFT calculation (GGA-PBE) of an optimized crystal structure of FeSbPt.

* space-group type: No. 107

abc: 5.9343 5.9344 3.0717
angles: 75.00 75.00 30.00
Fractional positions:
Fe  0.0117  0.0117  0.9883
Pt  0.6488  0.6488  0.3512
Sb  0.3395  0.3395  0.6605


No. 4
The following is a DFT calculation (GGA-PBE) of an optimized crystal structure of BaSr2Hg2Pb2.

* space-group type: No. 166

abc: 5.3378 5.3378 10.4162
angles: 75.15 75.15 60.00
Fractional positions:
Ba  0.0000  0.0000  0.0000
Sr  0.1354  0.1354  0.5938
Sr  0.8646  0.8646  0.4062
Hg  0.5597  0.5597  0.3209
Hg  0.4403  0.4403  0.6791
Pb  0.7406  0.7406  0.7781
Pb  0.2594  0.2594  0.2219


No. 5
The following is a DFT calculation (GGA-PBE) of an optimized crystal structure of Nd4ErS5.

* space-group type: No. 139

abc: 4.0286 4.0286 14.5629
angles: 97.95 97.95 90.00
Fractional positions:
Nd  0.3991  0.3991  0.7983
Nd  0.8036  0.8036  0.6073
Nd  0.1964  0.1964  0.3927
Nd  0.6009  0.6009  0.2017
Er  0.0000  0.0000  0.0000
S  0.0954  0.0954  0.1909
S  0.5000  0.5000  0.0000
S  0.9046  0.9046  0.8091
S  0.2982  0.2982  0.5963
S  0.7018  0.7018  0.4037


No. 6
The following is a DFT calculation (GGA-PBE) of an optimized crystal structure of SrTa2Cr.

* space-group type: No. 123
* relative energy among the computed polymorphs: 0.03 eV per formula unit

abc: 3.1345 3.1345 8.6988
angles: 90.00 90.00 90.00
Fractional positions:
Cr  0.5000  0.5000  0.2500
Sr  0.5000  0.5000  0.7500
Ta  0.0000  0.0000  0.0844
Ta  0.0000  0.0000  0.4156


No. 7
The following is a DFT calculation (GGA-PBE) of an optimized crystal structure of ZrAs3I.

* space-group type: No. 221
* relative energy among the computed polymorphs: 4.79 eV per formula unit

abc: 5.1921 5.1921 5.1921
angles: 90.00 90.00 90.00
Fractional positions:
I  0.0000  0.0000  0.0000
As  0.0000  0.5000  0.0000
As  0.0000  0.0000  0.5000
As  0.5000  0.0000  0.0000
Zr  0.5000  0.5000  0.5000


No. 8
The following is a DFT calculation (GGA-PBE) of an optimized crystal structure of OsRuPb2.

* space-group type: No. 166
* relative energy among the computed polymorphs: 1.73 eV per formula unit

abc: 8.6628 8.6628 8.6628
angles: 21.69 21.69 21.69
Fractional positions:
Os  0.7500  0.7500  0.7500
Pb  0.9990  0.9990  0.9990
Pb  0.5010  0.5010  0.5010
Ru  0.2500  0.2500  0.2500


Respective total magnetization values: 0.000; 0.000; 1.004; 0.000; 0.000; 0.000; 0.000; 0.071 μB/atom.
Respective energy values: -3.432; -2.534; -6.095; -2.340; -6.424; -8.154; -3.620; -6.089 eV/atom.